Crystalline LiSi2Sb at its relaxed geometry. Source: Alexandria via LeMat-Bulk, functional PBE.

Size of the total moment = 0.00 μB/atom
Crystal system = tetragonal
ΔE_f (raw) = 0.280 eV per atom

a b c (Å): 3.6607 3.6607 5.5653
angles (deg): 90.00 90.00 90.00
With the nearest neighbours (Å) after each atom.
Space group P4/mmm (No. 123)
One atom of each set of equivalent atoms:
Li  0.0000  0.0000  0.0000  2 Sb 2.78, 8 Si 2.86
Si  0.5000  0.5000  0.2196  1 Si 2.44
Sb  0.0000  0.0000  0.5000  2 Li 2.78, 8 Si 3.02